SrLaAg2 | PBE | relaxed

The density is 6.07 g/cm3. The calculation puts the energy of formation at -0.2559 eV/atom.

a b c (Å): 5.010 6.211 6.211
angles (deg): 38.80 90.00 90.00
Positions (direct):
Sr1 0.000 0.000 0.000
La1 0.500 0.277 0.277
Ag1 0.000 0.720 0.720
Ag2 0.500 0.567 0.567

AuCl3 | PBE | relaxed

For the formation energy without anion corrections, the calculation gives 11.77 kJ/mol of atoms. The density is 3.71 g/cm3.

a b c (Å): 9.527 9.527 3.458
angles (deg): 90.00 90.00 120.00
Positions (direct):
Au1 0.333 0.667 0.250
Au2 0.667 0.333 0.750
Cl1 0.219 0.437 0.750
Cl2 0.219 0.781 0.750
Cl3 0.437 0.219 0.250
Cl4 0.563 0.781 0.750
Cl5 0.781 0.219 0.250
Cl6 0.781 0.563 0.250

CdPb2Au | PBE | relaxed

The density is 10.80 g/cm3. The calculation puts the energy of formation at 0.0547 eV/atom.

a b c (Å): 6.703 6.703 6.703
angles (deg): 103.30 103.30 122.67
Positions (direct):
Cd1 0.000 0.000 0.000
Cd2 0.750 0.250 0.500
Pb1 0.150 0.625 0.025
Pb2 0.375 0.400 0.525
Pb3 0.600 0.125 0.975
Pb4 0.875 0.850 0.475
Au1 0.250 0.750 0.500
Au2 0.500 0.500 0.000

HoLuOs | PBE | relaxed

The density is 12.13 g/cm3. The calculation puts the energy of formation at -0.2979 eV/atom. As for the energy relative to the lowest polymorph listed for this composition: 0.0 meV per atom.

a b c (Å): 6.850 6.850 6.850
angles (deg): 151.60 151.60 40.59
Positions (direct):
Ho1 0.000 0.000 0.000
Lu1 0.253 0.253 0.000
Os1 0.629 0.629 0.000

AcCe2Cd | PBE | relaxed

The density is 8.21 g/cm3. The calculation puts the energy of formation at 0.0494 eV/atom. As for the energy relative to the lowest polymorph listed for this composition: 16.8 meV per atom.

a b c (Å): 4.901 4.901 5.218
angles (deg): 90.00 90.00 90.00
Positions (direct):
Ac1 0.000 0.000 0.000
Ce1 0.000 0.500 0.500
Ce2 0.500 0.000 0.500
Cd1 0.500 0.500 0.000

NdSmTeBr | PBE | relaxed

For the formation energy without anion corrections, the calculation gives -116.29 kJ/mol of atoms. The density is 7.71 g/cm3.

a b c (Å): 5.348 5.348 5.348
angles (deg): 60.00 60.00 60.00
Positions (direct):
Nd1 0.000 0.000 0.000
Sm1 0.500 0.500 0.500
Te1 0.750 0.750 0.750
Br1 0.250 0.250 0.250

PmMn2Sb | PBE | relaxed

For the formation energy without anion corrections, the calculation gives 1.98 kJ/mol of atoms. The density is 7.41 g/cm3.

a b c (Å): 4.467 4.467 4.229
angles (deg): 90.00 90.00 90.00
Positions (direct):
Pm1 0.000 0.000 0.000
Mn1 0.000 0.500 0.500
Mn2 0.500 0.000 0.500
Sb1 0.500 0.500 0.000

Se2NCl3 | PBE | relaxed

For the formation energy without anion corrections, the calculation gives 2.55 kJ/mol of atoms. The density is 2.42 g/cm3.

a b c (Å): 9.693 10.403 7.603
angles (deg): 90.00 95.70 90.00
Positions (direct):
Se1 0.185 0.118 0.064
Se2 0.185 0.382 0.564
Se3 0.216 0.535 0.907
Se4 0.216 0.965 0.407
Se5 0.784 0.035 0.593
Se6 0.784 0.465 0.093
Se7 0.815 0.618 0.436
Se8 0.815 0.882 0.936
N1 0.274 0.000 0.200
N2 0.274 0.500 0.700
N3 0.726 0.000 0.800
N4 0.726 0.500 0.300
Cl1 0.020 0.145 0.317
Cl2 0.020 0.355 0.817
Cl3 0.328 0.101 0.848
Cl4 0.328 0.399 0.348
Cl5 0.376 0.683 0.983
Cl6 0.376 0.817 0.483
Cl7 0.624 0.183 0.517
Cl8 0.624 0.317 0.017
Cl9 0.672 0.601 0.652
Cl10 0.672 0.899 0.152
Cl11 0.980 0.645 0.183
Cl12 0.980 0.855 0.683

Be2AlIn2Pd5 | PBE | relaxed

The density is 9.02 g/cm3. The calculation puts the energy of formation at -0.5336 eV/atom.

a b c (Å): 9.594 9.594 3.227
angles (deg): 90.00 90.00 90.00
Positions (direct):
Be1 0.126 0.374 0.000
Be2 0.374 0.874 0.000
Be3 0.626 0.126 0.000
Be4 0.874 0.626 0.000
Al1 0.000 0.000 0.000
Al2 0.500 0.500 0.000
In1 0.173 0.673 0.000
In2 0.327 0.173 0.000
In3 0.673 0.827 0.000
In4 0.827 0.327 0.000
Pd1 0.000 0.500 0.500
Pd2 0.077 0.202 0.500
Pd3 0.202 0.923 0.500
Pd4 0.298 0.423 0.500
Pd5 0.423 0.702 0.500
Pd6 0.500 0.000 0.500
Pd7 0.577 0.298 0.500
Pd8 0.702 0.577 0.500
Pd9 0.798 0.077 0.500
Pd10 0.923 0.798 0.500

SmZrTlCd | PBE | relaxed

The density is 9.23 g/cm3. The calculation puts the energy of formation at -0.1483 eV/atom.

a b c (Å): 5.219 5.219 5.219
angles (deg): 60.00 60.00 60.00
Positions (direct):
Sm1 0.000 0.000 0.000
Zr1 0.500 0.500 0.500
Tl1 0.750 0.750 0.750
Cd1 0.250 0.250 0.250

La3YPb2 | PBE | relaxed

The density is 7.88 g/cm3. The calculation puts the energy of formation at -0.4428 eV/atom. As for the energy relative to the lowest polymorph listed for this composition: 17.8 meV per atom.

a b c (Å): 8.695 8.695 4.620
angles (deg): 90.00 90.00 146.30
Positions (direct):
La1 0.000 0.000 0.000
La2 0.320 0.680 0.000
La3 0.680 0.320 0.000
Y1 0.500 0.500 0.500
Pb1 0.147 0.853 0.500
Pb2 0.853 0.147 0.500

AcZn2SiNi2 | PBE | relaxed

For the formation energy without anion corrections, the calculation gives -27.54 kJ/mol of atoms. The density is 7.37 g/cm3.

a b c (Å): 4.345 4.345 6.006
angles (deg): 90.00 90.00 90.00
Positions (direct):
Ac1 0.000 0.000 0.000
Zn1 0.500 0.500 0.263
Zn2 0.500 0.500 0.737
Si1 0.000 0.000 0.500
Ni1 0.000 0.500 0.500
Ni2 0.500 0.000 0.500